No. 1
RbZn4SbP2: optimized geometry, PBE. Values from VASP.

**Density of states at the Fermi level**: 1.1 states/eV/f.u.
**ΔE_f (raw)**: -0.21 eV/atom
**SG**: P4/mmm (123)
**ρ**: 4.71 g/cm3

Geometry as Quantum ESPRESSO input:
```
&SYSTEM
  ibrav = 0, nat = 8, ntyp = 4
/
ATOMIC_SPECIES
Zn 65.41 Zn.upf
P 30.97 P.upf
Sb 121.76 Sb.upf
Rb 85.47 Rb.upf
ATOMIC_POSITIONS angstrom
Zn -2.523 1.085 0.552
Zn -0.254 1.371 2.429
P -3.895 6.039 3.786
Sb 0.000 0.000 0.000
Zn -4.555 7.598 2.014
Zn -2.287 7.884 3.891
Rb -1.559 4.995 1.121
P -2.606 1.908 2.858
CELL_PARAMETERS angstrom
-3.960 -1.309 0.324
0.577 -0.735 4.077
-3.118 9.991 2.242
```

No. 2
Rb2ZrSbP: optimized geometry, PBE. Values from VASP.

**Density of states at the Fermi level**: 6.6 states/eV/f.u.
**ΔE_f (raw)**: 1.00 eV/atom
**SG**: P4/mmm (123)
**ρ**: 2.72 g/cm3

Geometry as Quantum ESPRESSO input:
```
&SYSTEM
  ibrav = 0, nat = 5, ntyp = 4
/
ATOMIC_SPECIES
Zr 91.22 Zr.upf
Rb 85.47 Rb.upf
P 30.97 P.upf
Sb 121.76 Sb.upf
ATOMIC_POSITIONS angstrom
Zr -5.239 1.730 1.143
Rb -2.769 -1.848 1.314
P -1.372 0.671 -1.947
Rb -1.098 2.907 1.776
Sb 0.000 0.000 0.000
CELL_PARAMETERS angstrom
-2.195 5.815 3.552
-2.744 1.343 -3.894
-5.538 -3.697 2.628
```

No. 3
RbSc2P2: optimized geometry, PBE. Values from VASP.

**Density of states at the Fermi level**: 4.8 states/eV/f.u.
**Relative energy among the computed polymorphs**: 0 meV/atom
**SG**: I4/mmm (139)
**ρ**: 2.67 g/cm3
**ΔH_f (0 K)**: -0.952 eV/atom

Geometry as Quantum ESPRESSO input:
```
&SYSTEM
  ibrav = 0, nat = 5, ntyp = 3
/
ATOMIC_SPECIES
P 30.97 P.upf
Sc 44.96 Sc.upf
Rb 85.47 Rb.upf
ATOMIC_POSITIONS angstrom
P 4.609 4.609 4.666
P 2.304 2.304 2.281
Sc 4.609 2.304 3.473
Sc 2.304 4.609 3.473
Rb 0.000 0.000 0.000
CELL_PARAMETERS angstrom
4.609 0.000 0.000
0.000 4.609 0.000
2.304 2.304 6.947
```

No. 4
RbScP2: optimized geometry, PBE. Values from VASP.

**Density of states at the Fermi level**: 6.3 states/eV/f.u.
**Relative energy among the computed polymorphs**: 496 meV/atom
**SG**: Fm-3m (225)
**ρ**: 3.58 g/cm3
**ΔH_f (0 K)**: 0.040 eV/atom

Geometry as Quantum ESPRESSO input:
```
&SYSTEM
  ibrav = 0, nat = 4, ntyp = 3
/
ATOMIC_SPECIES
P 30.97 P.upf
Rb 85.47 Rb.upf
Sc 44.96 Sc.upf
ATOMIC_POSITIONS angstrom
P 5.319 5.319 5.319
P 1.773 1.773 1.773
Rb 3.546 3.546 3.546
Sc 0.000 0.000 0.000
CELL_PARAMETERS angstrom
0.000 3.546 3.546
3.546 0.000 3.546
3.546 3.546 0.000
```

No. 5
RbScP2: optimized geometry, PBE. Values from VASP.

**Density of states at the Fermi level**: 1.4 states/eV/f.u.
**Relative energy among the computed polymorphs**: 0 meV/atom
**SG**: I4_1/amd (141)
**ρ**: 2.44 g/cm3
**ΔH_f (0 K)**: -0.456 eV/atom

Geometry as Quantum ESPRESSO input:
```
&SYSTEM
  ibrav = 0, nat = 8, ntyp = 3
/
ATOMIC_SPECIES
P 30.97 P.upf
Sc 44.96 Sc.upf
Rb 85.47 Rb.upf
ATOMIC_POSITIONS angstrom
P -3.329 -2.011 -10.228
Sc 0.735 0.643 -3.871
P -2.307 -3.768 -8.269
Rb -3.144 -0.385 -6.836
Sc -0.368 -3.253 -6.786
Rb 0.000 0.000 0.000
P -1.572 -0.193 -3.417
P 0.183 -1.304 -5.329
CELL_PARAMETERS angstrom
-2.041 3.511 -3.921
3.510 -2.226 -3.820
-4.982 -4.924 -5.880
```

No. 6
RbScP2Se8: optimized geometry, PBE. Values from VASP.

**Density of states at the Fermi level**: 13.0 states/eV/f.u.
**ΔE_f (raw)**: -0.44 eV/atom
**SG**: R-3 (148)
**ρ**: 3.94 g/cm3

Geometry as Quantum ESPRESSO input:
```
&SYSTEM
  ibrav = 0, nat = 12, ntyp = 4
/
ATOMIC_SPECIES
Se 78.96 Se.upf
P 30.97 P.upf
Sc 44.96 Sc.upf
Rb 85.47 Rb.upf
ATOMIC_POSITIONS angstrom
Se 4.443 3.791 8.195
Se 5.505 5.477 1.494
P 9.651 5.572 7.562
Se 7.495 5.401 8.195
Se 9.651 5.572 5.378
Sc 0.000 0.000 0.000
Se 7.363 1.952 8.195
Se 5.373 2.029 1.494
P 3.217 1.857 2.127
Rb 6.434 3.715 4.845
Se 3.217 1.857 4.311
Se 8.425 3.638 1.494
CELL_PARAMETERS angstrom
6.434 0.000 0.000
3.217 5.572 0.000
3.217 1.857 9.689
```